InH5Os | PBE | relaxed

Properties
Space group: I-4m2, No. 119
DFT total energy, eV per atom: -4.12
Crystal system: tetragonal
D(E_F), states/eV/f.u.: 1.96

a b c (Å): 4.4714 4.4714 4.4714
angles (deg): 100.17 100.17 130.31
Closest atoms and distances in Å follow each position.
Atoms (fractional coordinates):
In 0.0000 0.0000 0.0000  4 H 2.00
H 0.3703 0.5992 0.7712  1 Os 1.66
H 0.4008 0.1720 0.7712  1 Os 1.66
H 0.4008 0.6297 0.2288  1 Os 1.66
H 0.7500 0.2500 0.5000  2 Os 1.88, 4 H 2.04
H 0.8280 0.5992 0.2288  1 Os 1.66
Os 0.2500 0.7500 0.5000  4 H 1.66